The following is a DFT calculation (PBE) of an optimized crystal structure of Te2RuCl.

```
Te2RuCl
1.0
3.303 0.000 0.000
0.000 3.345 0.000
-1.590 0.000 8.146
Te Ru Cl
2 1 1
direct
0.111 0.000 0.199 Te
0.889 0.000 0.801 Te
0.500 0.500 0.000 Ru
0.500 0.500 0.500 Cl
```

- Energy relative to the lowest polymorph listed for this composition: 175 meV/atom
- Energy: -4.38 eV per atom
- Size of the total moment: 0.7 μB per formula unit
- Raw formation energy: -11.6 kJ/mol of formula units

The following is a DFT calculation (PBE) of an optimized crystal structure of Cs3Rb2RuO6.

```
Cs3Rb2RuO6
1.0
3.397 -5.904 0.000
3.397 5.904 0.000
-2.218 0.000 6.365
Cs Rb Ru O
3 2 1 6
direct
0.000 0.000 0.000 Cs
0.336 0.664 0.000 Cs
0.664 0.336 0.000 Cs
0.167 0.833 0.500 Rb
0.833 0.167 0.500 Rb
0.500 0.500 0.500 Ru
0.208 0.440 0.325 O
0.325 0.325 0.681 O
0.440 0.208 0.325 O
0.560 0.792 0.675 O
0.675 0.675 0.319 O
0.792 0.560 0.675 O
```

- Energy: -4.79 eV per atom
- Size of the total moment: 1.0 μB per formula unit
- Raw formation energy: -1341.8 kJ/mol of formula units

The following is a DFT calculation (PBE) of an optimized crystal structure of Hg2Rh2O.

```
Hg2Rh2O
1.0
-1.998 1.998 6.267
1.998 -1.998 6.267
1.998 1.998 -6.267
Hg Rh O
2 2 1
direct
0.250 0.750 0.500 Hg
0.750 0.250 0.500 Hg
0.095 0.095 0.000 Rh
0.905 0.905 0.000 Rh
0.500 0.500 0.000 O
```

- Energy relative to the lowest polymorph listed for this composition: 921 meV/atom
- Energy: -3.03 eV per atom
- Size of the total moment: 3.3 μB per formula unit
- Raw formation energy: 495.2 kJ/mol of formula units

The following is a DFT calculation (PBE) of an optimized crystal structure of Y2IrAu2.

```
Y2IrAu2
1.0
7.419 0.000 0.000
0.000 7.419 0.000
0.000 0.000 3.979
Y Ir Au
4 2 4
direct
0.178 0.322 0.000 Y
0.322 0.822 0.000 Y
0.678 0.178 0.000 Y
0.822 0.678 0.000 Y
0.000 0.000 0.500 Ir
0.500 0.500 0.500 Ir
0.131 0.631 0.500 Au
0.369 0.131 0.500 Au
0.631 0.869 0.500 Au
0.869 0.369 0.500 Au
```

- Energy: -6.23 eV per atom
- Size of the total moment: 0.0 μB per formula unit
- Formation enthalpy at 0 K: -0.56 eV/atom

The following is a DFT calculation (PBE) of an optimized crystal structure of KSr2Hg9.

```
KSr2Hg9
1.0
4.878 0.000 0.000
0.000 4.878 0.000
0.000 0.000 14.796
K Sr Hg
1 2 9
direct
0.000 0.000 0.000 K
0.000 0.000 0.333 Sr
0.000 0.000 0.667 Sr
0.000 0.500 0.172 Hg
0.000 0.500 0.500 Hg
0.000 0.500 0.828 Hg
0.500 0.000 0.172 Hg
0.500 0.000 0.500 Hg
0.500 0.000 0.828 Hg
0.500 0.500 0.000 Hg
0.500 0.500 0.346 Hg
0.500 0.500 0.654 Hg
```

- Energy: -0.93 eV per atom
- Size of the total moment: 0.0 μB per formula unit
- Formation enthalpy at 0 K: -0.33 eV/atom

The following is a DFT calculation (PBE) of an optimized crystal structure of K2MgSc.

```
K2MgSc
1.0
3.512 -6.670 0.000
3.512 6.670 0.000
-1.550 0.000 3.117
K Mg Sc
2 1 1
direct
0.000 0.500 0.000 K
0.500 0.000 0.000 K
0.000 0.000 0.500 Mg
0.500 0.500 0.500 Sc
```

- Energy: -2.02 eV per atom
- Size of the total moment: 0.0 μB per formula unit
- Formation enthalpy at 0 K: 0.51 eV/atom

The following is a DFT calculation (PBE) of an optimized crystal structure of CuMoPb2.

```
CuMoPb2
1.0
3.319 0.000 0.000
0.000 4.585 0.000
0.000 0.000 5.615
Cu Mo Pb
1 1 2
direct
0.000 0.000 0.000 Cu
0.500 0.000 0.500 Mo
0.000 0.500 0.500 Pb
0.500 0.500 0.000 Pb
```

- Energy relative to the lowest polymorph listed for this composition: 331 meV/atom
- Energy: -4.82 eV per atom
- Size of the total moment: 0.0 μB per formula unit
- Formation enthalpy at 0 K: 0.77 eV/atom

The following is a DFT calculation (PBE) of an optimized crystal structure of Tb6Sn2N.

```
Tb6Sn2N
1.0
7.270 -3.462 0.000
7.270 3.462 0.000
-2.092 0.000 5.113
Tb Sn N
6 2 1
direct
0.119 0.626 0.373 Tb
0.247 0.753 0.000 Tb
0.374 0.881 0.627 Tb
0.626 0.119 0.373 Tb
0.753 0.247 0.000 Tb
0.881 0.374 0.627 Tb
0.315 0.315 0.816 Sn
0.685 0.685 0.184 Sn
0.000 0.000 0.500 N
```

- Energy: -5.16 eV per atom
- Size of the total moment: 0.6 μB per formula unit
- Raw formation energy: -221.2 kJ/mol of formula units